Computed, not measured: crystalline Be3TcAg at its relaxed geometry at the PBE level of DFT.

Structure (extended XYZ):
```
5
Lattice="4.128 0.000 0.000 0.000 4.128 0.000 0.000 0.000 4.128" Properties=species:S:1:pos:R:3 pbc="T T T"
Be 0.000 2.064 0.000
Be 0.000 0.000 2.064
Be 2.064 0.000 0.000
Ag 0.000 0.000 0.000
Tc 2.064 2.064 2.064
```

Summary:
**Energy of formation from the pure elements**: 1131 meV/atom
**Calculated total energy**: -3.748 eV/atom
**Volume**: 14.063 Å³/atom
**ρ**: 5.50 g/cm³